# 1
Below is a relaxed structure of ReOs3Au, with properties calculated at the GGA-PBE level.

Structure (POSCAR):
```
ReOs3Au
1.0
4.6984 0.0000 0.0000
0.0000 4.6984 0.0000
0.0000 0.0000 4.6984
Re Os Au
1 3 1
direct
0.0000 0.0000 0.0000
0.0000 0.5000 0.5000
0.5000 0.0000 0.5000
0.5000 0.5000 0.0000
0.5000 0.5000 0.5000
```

* formation enthalpy at 0 K: 3.50 eV per atom
* ΔE to the lowest computed polymorph: 6.08 eV/f.u.
* density: 15.27 g cm⁻³
* DOS(E_F): 11.40 states/eV per cell
* uncorrected energy: -6.381 eV per atom


# 2
Below is a relaxed structure of ReOs3Au, with properties calculated at the GGA-PBE level.

Structure (POSCAR):
```
ReOs3Au
1.0
4.7038 0.0000 0.0000
0.0000 4.7038 0.0000
0.0000 0.0000 4.7038
Re Os Au
1 3 1
direct
0.0000 0.0000 0.0000
0.0000 0.0000 0.5000
0.0000 0.5000 0.0000
0.5000 0.0000 0.0000
0.5000 0.5000 0.5000
```

* formation enthalpy at 0 K: 2.29 eV per atom
* ΔE to the lowest computed polymorph: 0.00 eV/f.u.
* density: 15.22 g cm⁻³
* DOS(E_F): 5.47 states/eV per cell
* uncorrected energy: -7.596 eV per atom


# 3
Below is a relaxed structure of ReOs2RuAu, with properties calculated at the GGA-PBE level.

Structure (POSCAR):
```
ReOs2RuAu
1.0
4.7415 0.0000 0.0000
0.0000 4.7415 0.0000
0.0000 0.0000 4.7037
Re Os Ru Au
1 2 1 1
direct
0.0000 0.0000 0.0000
0.0000 0.5000 0.5000
0.5000 0.0000 0.5000
0.5000 0.5000 0.0000
0.0000 0.0000 0.5000
```

* formation enthalpy at 0 K: 3.33 eV per atom
* density: 13.58 g cm⁻³
* DOS(E_F): 10.53 states/eV per cell
* uncorrected energy: -6.165 eV per atom


# 4
Below is a relaxed structure of ScRe2OsAu, with properties calculated at the GGA-PBE level.

Structure (POSCAR):
```
ScRe2OsAu
1.0
4.7747 0.0000 0.0000
0.0000 4.7747 0.0000
0.0000 0.0000 4.7382
Sc Re Os Au
1 2 1 1
direct
0.0000 0.0000 0.0000
0.0000 0.5000 0.5000
0.5000 0.0000 0.5000
0.5000 0.5000 0.0000
0.0000 0.0000 0.5000
```

* formation enthalpy at 0 K: 2.42 eV per atom
* density: 12.37 g cm⁻³
* DOS(E_F): 8.48 states/eV per cell
* uncorrected energy: -6.730 eV per atom


# 5
Below is a relaxed structure of ReTeOs2Au, with properties calculated at the GGA-PBE level.

Structure (POSCAR):
```
ReTeOs2Au
1.0
4.7476 0.0000 0.0000
0.0000 4.7476 0.0000
0.0000 0.0000 5.0250
Re Te Os Au
1 1 2 1
direct
0.0000 0.0000 0.0000
0.5000 0.5000 0.5000
0.0000 0.5000 0.0000
0.5000 0.0000 0.0000
0.0000 0.0000 0.5000
```

* density: 13.07 g cm⁻³
* DOS(E_F): 8.80 states/eV per cell
* uncorrected energy: -6.392 eV per atom


# 6
Below is a relaxed structure of VReOsAu2, with properties calculated at the GGA-PBE level.

Structure (POSCAR):
```
VReOsAu2
1.0
4.9780 0.0000 0.0000
0.0000 4.9780 0.0000
0.0000 0.0000 4.6354
V Re Os Au
1 1 1 2
direct
0.0000 0.0000 0.0000
0.5000 0.5000 0.0000
0.5000 0.5000 0.5000
0.0000 0.5000 0.5000
0.5000 0.0000 0.5000
```

* formation enthalpy at 0 K: 1.96 eV per atom
* density: 11.87 g cm⁻³
* DOS(E_F): 10.37 states/eV per cell
* uncorrected energy: -5.912 eV per atom


# 7
Below is a relaxed structure of Re2OsWAu, with properties calculated at the GGA-PBE level.

Structure (POSCAR):
```
Re2OsWAu
1.0
4.7028 0.0000 0.0000
0.0000 4.7028 0.0000
0.0000 0.0000 4.7265
Re Os W Au
2 1 1 1
direct
0.0000 0.5000 0.0000
0.5000 0.0000 0.0000
0.0000 0.0000 0.0000
0.0000 0.0000 0.5000
0.5000 0.5000 0.5000
```

* formation enthalpy at 0 K: 2.11 eV per atom
* density: 14.99 g cm⁻³
* DOS(E_F): 6.01 states/eV per cell
* uncorrected energy: -8.365 eV per atom


# 8
Below is a relaxed structure of ZrReOs2Au, with properties calculated at the GGA-PBE level.

Structure (POSCAR):
```
ZrReOs2Au
1.0
4.8029 0.0000 0.0000
0.0000 4.8029 0.0000
0.0000 0.0000 4.8105
Zr Re Os Au
1 1 2 1
direct
0.0000 0.0000 0.0000
0.0000 0.0000 0.5000
0.0000 0.5000 0.0000
0.5000 0.0000 0.0000
0.5000 0.5000 0.5000
```

* formation enthalpy at 0 K: 2.56 eV per atom
* density: 12.79 g cm⁻³
* DOS(E_F): 4.96 states/eV per cell
* uncorrected energy: -6.785 eV per atom


# 9
Below is a relaxed structure of Os4RhAu, with properties calculated at the GGA-PBE level.

Structure (POSCAR):
```
Os4RhAu
1.0
0.0000 3.6443 3.6443
3.6443 0.0000 3.6443
3.6443 3.6443 0.0000
Os Rh Au
4 1 1
direct
0.1245 0.1245 0.1245
0.1245 0.1245 0.6264
0.1245 0.6264 0.1245
0.6264 0.1245 0.1245
0.7500 0.7500 0.7500
0.5000 0.5000 0.5000
```

* formation enthalpy at 0 K: 0.89 eV per atom
* density: 18.20 g cm⁻³
* DOS(E_F): 10.07 states/eV per cell
* uncorrected energy: -8.366 eV per atom


# 10
Below is a relaxed structure of Os3RhAu, with properties calculated at the GGA-PBE level.

Structure (POSCAR):
```
Os3RhAu
1.0
4.6617 0.0000 0.0000
0.0000 4.6617 0.0000
0.0000 0.0000 4.6617
Os Rh Au
3 1 1
direct
0.0000 0.0000 0.5000
0.0000 0.5000 0.0000
0.5000 0.0000 0.0000
0.0000 0.0000 0.0000
0.5000 0.5000 0.5000
```

* formation enthalpy at 0 K: 2.51 eV per atom
* ΔE to the lowest computed polymorph: 0.00 eV/f.u.
* density: 14.27 g cm⁻³
* DOS(E_F): 10.56 states/eV per cell
* uncorrected energy: -6.358 eV per atom


# 11
Below is a relaxed structure of OsRh4Au, with properties calculated at the GGA-PBE level.

Structure (POSCAR):
```
OsRh4Au
1.0
0.0000 3.5954 3.5954
3.5954 0.0000 3.5954
3.5954 3.5954 0.0000
Os Rh Au
1 4 1
direct
0.0000 0.0000 0.0000
0.1249 0.6250 0.6250
0.6250 0.1249 0.6250
0.6250 0.6250 0.1249
0.6250 0.6250 0.6250
0.2500 0.2500 0.2500
```

* formation enthalpy at 0 K: 0.58 eV per atom
* density: 14.27 g cm⁻³
* DOS(E_F): 9.02 states/eV per cell
* uncorrected energy: -6.734 eV per atom


# 12
Below is a relaxed structure of OsRh3Au, with properties calculated at the GGA-PBE level.

Structure (POSCAR):
```
OsRh3Au
1.0
4.6858 0.0000 0.0000
0.0000 4.6858 0.0000
0.0000 0.0000 4.6858
Os Rh Au
1 3 1
direct
0.0000 0.0000 0.0000
0.0000 0.0000 0.5000
0.0000 0.5000 0.0000
0.5000 0.0000 0.0000
0.5000 0.5000 0.5000
```

* formation enthalpy at 0 K: 1.31 eV per atom
* ΔE to the lowest computed polymorph: 0.00 eV/f.u.
* density: 11.23 g cm⁻³
* DOS(E_F): 4.45 states/eV per cell
* uncorrected energy: -6.002 eV per atom


# 13
Below is a relaxed structure of Si2OsRhAu, with properties calculated at the GGA-PBE level.

Structure (POSCAR):
```
Si2OsRhAu
1.0
4.4453 0.0000 0.0000
0.0000 4.4453 0.0000
0.0000 0.0000 4.9183
Si Os Rh Au
2 1 1 1
direct
0.0000 0.5000 0.0000
0.5000 0.0000 0.0000
0.0000 0.0000 0.5000
0.0000 0.0000 0.0000
0.5000 0.5000 0.5000
```

* density: 9.33 g cm⁻³
* DOS(E_F): 5.86 states/eV per cell
* uncorrected energy: -5.450 eV per atom


# 14
Below is a relaxed structure of SnOs2RhAu, with properties calculated at the GGA-PBE level.

Structure (POSCAR):
```
SnOs2RhAu
1.0
4.8659 0.0000 0.0000
0.0000 4.8659 0.0000
0.0000 0.0000 4.9140
Sn Os Rh Au
1 2 1 1
direct
0.0000 0.0000 0.0000
0.0000 0.5000 0.5000
0.5000 0.0000 0.5000
0.5000 0.5000 0.0000
0.5000 0.5000 0.5000
```

* formation enthalpy at 0 K: 2.22 eV per atom
* density: 11.40 g cm⁻³
* DOS(E_F): 7.70 states/eV per cell
* uncorrected energy: -5.202 eV per atom


# 15
Below is a relaxed structure of TcOsRh2Au, with properties calculated at the GGA-PBE level.

Structure (POSCAR):
```
TcOsRh2Au
1.0
4.7223 0.0000 0.0000
0.0000 4.7223 0.0000
0.0000 0.0000 4.6430
Tc Os Rh Au
1 1 2 1
direct
0.0000 0.0000 0.0000
0.0000 0.0000 0.5000
0.0000 0.5000 0.5000
0.5000 0.0000 0.5000
0.5000 0.5000 0.0000
```

* formation enthalpy at 0 K: 1.45 eV per atom
* density: 11.08 g cm⁻³
* DOS(E_F): 4.61 states/eV per cell
* uncorrected energy: -6.468 eV per atom


# 16
Below is a relaxed structure of OsRhWAu2, with properties calculated at the GGA-PBE level.

Structure (POSCAR):
```
OsRhWAu2
1.0
4.9692 0.0000 0.0000
0.0000 4.9692 0.0000
0.0000 0.0000 4.6244
Os Rh W Au
1 1 1 2
direct
0.0000 0.0000 0.0000
0.5000 0.5000 0.5000
0.0000 0.0000 0.5000
0.0000 0.5000 0.0000
0.5000 0.0000 0.0000
```

* formation enthalpy at 0 K: 1.86 eV per atom
* density: 12.66 g cm⁻³
* DOS(E_F): 8.54 states/eV per cell
* uncorrected energy: -5.757 eV per atom


# 17
Below is a relaxed structure of OsRuAu2, with properties calculated at the GGA-PBE level.

Structure (POSCAR):
```
OsRuAu2
1.0
2.8282 0.0000 0.0000
0.0000 3.8396 0.0000
0.0000 0.0000 5.9242
Os Ru Au
1 1 2
direct
0.0000 0.0000 0.0000
0.5000 0.5000 0.1865
0.0000 0.0000 0.4625
0.5000 0.5000 0.7247
```

* formation enthalpy at 0 K: 0.35 eV per atom
* ΔE to the lowest computed polymorph: 0.48 eV/f.u.
* density: 17.69 g cm⁻³
* DOS(E_F): 2.63 states/eV per cell
* uncorrected energy: -6.417 eV per atom


# 18
Below is a relaxed structure of OsRuAu2, with properties calculated at the GGA-PBE level.

Structure (POSCAR):
```
OsRuAu2
1.0
2.7865 0.0000 0.0000
0.0000 4.7522 0.0000
0.0000 0.0000 4.9072
Os Ru Au
1 1 2
direct
0.0000 0.0000 0.0000
0.5000 0.5000 0.0000
0.0000 0.5000 0.5000
0.5000 0.0000 0.5000
```

* formation enthalpy at 0 K: 0.68 eV per atom
* ΔE to the lowest computed polymorph: 1.81 eV/f.u.
* density: 17.51 g cm⁻³
* DOS(E_F): 5.08 states/eV per cell
* uncorrected energy: -6.085 eV per atom


# 19
Below is a relaxed structure of OsRuAu2, with properties calculated at the GGA-PBE level.

Structure (POSCAR):
```
OsRuAu2
1.0
-1.3971 2.3959 4.9230
1.3971 -2.3959 4.9230
1.3971 2.3959 -4.9230
Os Ru Au
1 1 2
direct
0.0000 0.0000 0.0000
0.2105 0.7105 0.5000
0.4702 0.4702 0.0000
0.7427 0.2427 0.5000
```

* formation enthalpy at 0 K: 0.56 eV per atom
* ΔE to the lowest computed polymorph: 1.34 eV/f.u.
* density: 17.26 g cm⁻³
* DOS(E_F): 3.60 states/eV per cell
* uncorrected energy: -6.201 eV per atom


# 20
Below is a relaxed structure of OsRuAu, with properties calculated at the GGA-PBE level.

Structure (POSCAR):
```
OsRuAu
1.0
-1.4073 1.9008 4.3095
1.4073 -1.9008 4.3095
1.4073 1.9008 -4.3095
Os Ru Au
1 1 1
direct
0.0000 0.0000 0.0000
0.6353 0.6353 0.0000
0.3179 0.3179 0.0000
```

* formation enthalpy at 0 K: 0.39 eV per atom
* ΔE to the lowest computed polymorph: 0.35 eV/f.u.
* density: 17.58 g cm⁻³
* DOS(E_F): 1.78 states/eV per cell
* uncorrected energy: -7.536 eV per atom


| no. | V (Å³/cell) | size of the total moment (μB/f.u.) |
| --- | --- | --- |
| 1 | 103.71 | 0.00 |
| 2 | 104.08 | 1.91 |
| 3 | 105.75 | 0.02 |
| 4 | 108.02 | 1.79 |
| 5 | 113.26 | 0.00 |
| 6 | 114.87 | 0.13 |
| 7 | 104.53 | 0.36 |
| 8 | 110.97 | 2.55 |
| 9 | 96.80 | 1.84 |
| 10 | 101.30 | 0.93 |
| 11 | 92.95 | 1.54 |
| 12 | 102.89 | 0.00 |
| 13 | 97.19 | 0.00 |
| 14 | 116.35 | 3.81 |
| 15 | 103.54 | 1.35 |
| 16 | 114.19 | 0.01 |
| 17 | 64.33 | 0.00 |
| 18 | 64.98 | 0.59 |
| 19 | 65.91 | 0.00 |
| 20 | 46.11 | 0.00 |